GdZn4Pt | Alexandria via LeMat-Bulk | GGA-PBE | relaxed; density = 10.15 g/cm³; raw total energy = -27.54 eV for the cell shown
1.0
5.218 0.000 0.000
2.609 4.519 0.000
2.609 1.506 4.260
Zn Gd Pt
4 1 1
direct
0.624 0.624 0.128
0.624 0.128 0.624
0.624 0.624 0.624
0.128 0.624 0.624
0.000 0.000 0.000
0.250 0.250 0.250


GdZnPt2 | Alexandria via LeMat-Bulk | GGA-PBE | relaxed; density = 13.87 g/cm³; raw total energy = -30.69 eV for the cell shown
1.0
-0.302 -3.353 -0.100
3.139 -0.247 -1.194
2.270 -0.384 6.044
Zn Gd Pt
1 1 2
direct
0.500 0.500 0.000
0.500 0.500 0.500
0.000 0.000 0.784
0.000 0.000 0.216


GdZnPt2 | Alexandria via LeMat-Bulk | GGA-PBE | relaxed; density = 13.95 g/cm³; raw total energy = -30.52 eV for the cell shown
1.0
3.968 0.000 0.000
0.000 4.287 0.000
0.000 0.000 4.287
Zn Gd Pt
1 1 2
direct
0.500 0.000 0.000
0.500 0.500 0.500
0.000 0.000 0.500
0.000 0.500 0.000


GdZrPt | Alexandria via LeMat-Bulk | GGA-PBE | relaxed; density = 10.81 g/cm³; raw total energy = -30.61 eV for the cell shown
1.0
-2.196 2.445 1.128
-1.417 0.189 -3.167
-1.913 -5.314 2.446
Gd Zr Pt
1 1 1
direct
0.989 0.989 0.979
0.693 0.693 0.385
0.318 0.318 0.636


GdZrPt2 | Alexandria via LeMat-Bulk | GGA-PBE | relaxed; density = 12.87 g/cm³; raw total energy = -38.86 eV for the cell shown
1.0
3.408 0.000 0.000
0.000 3.408 0.000
0.000 0.000 7.095
Gd Zr Pt
1 1 2
direct
0.500 0.500 0.500
0.500 0.500 0.000
0.000 0.000 0.785
0.000 0.000 0.215


GdZrPt4 | Alexandria via LeMat-Bulk | GGA-PBE | relaxed; density = 15.41 g/cm³; raw total energy = -52.29 eV for the cell shown
1.0
5.393 0.000 0.000
2.696 4.670 0.000
2.696 1.557 4.403
Gd Zr Pt
1 1 4
direct
0.000 0.000 0.000
0.250 0.250 0.250
0.625 0.625 0.125
0.625 0.125 0.625
0.625 0.625 0.625
0.125 0.625 0.625


GdPu3 | Alexandria via LeMat-Bulk | GGA-PBE | relaxed; density = 12.98 g/cm³; raw total energy = -55.97 eV for the cell shown
1.0
-4.557 -1.560 -0.532
1.269 -2.326 -4.057
1.051 -3.955 2.596
Gd Pu
1 3
direct
0.000 0.000 0.000
0.000 0.500 0.500
0.500 0.000 0.500
0.500 0.500 0.000


GdPu3 | Alexandria via LeMat-Bulk | GGA-PBE | relaxed; density = 14.47 g/cm³; raw total energy = -56.08 eV for the cell shown
1.0
-2.838 -1.352 -0.927
1.685 -4.944 2.052
-1.643 4.434 4.357
Gd Pu
1 3
direct
0.000 0.927 0.000
0.221 0.624 0.441
0.500 0.434 0.000
0.779 0.182 0.559


GdPu3 | Alexandria via LeMat-Bulk | GGA-PBE | relaxed; density = 13.98 g/cm³; raw total energy = -56.11 eV for the cell shown
1.0
3.267 0.000 0.000
0.000 5.355 0.000
0.000 0.000 6.036
Gd Pu
1 3
direct
0.000 0.000 0.022
0.500 0.000 0.526
0.500 0.500 0.795
0.000 0.500 0.324


GdPu2 | Alexandria via LeMat-Bulk | GGA-PBE | relaxed; density = 12.38 g/cm³; raw total energy = -84.03 eV for the cell shown
1.0
6.256 0.000 0.000
3.128 5.418 0.000
3.128 1.806 5.108
Gd Pu
2 4
direct
0.000 0.000 0.000
0.250 0.250 0.250
0.125 0.625 0.625
0.625 0.125 0.625
0.625 0.625 0.625
0.625 0.625 0.125


GdPu | Alexandria via LeMat-Bulk | GGA-PBE | relaxed; density = 11.55 g/cm³; raw total energy = -56.07 eV for the cell shown
1.0
-0.377 2.008 2.675
-3.835 -3.159 1.831
4.222 -2.499 4.532
Gd Pu
2 2
direct
0.180 0.750 0.637
0.820 0.250 0.363
0.442 0.750 0.117
0.558 0.250 0.883


GdPu3 | Alexandria via LeMat-Bulk | GGA-PBE | relaxed; density = 13.27 g/cm³; raw total energy = -56.06 eV for the cell shown
1.0
-0.029 -2.169 4.297
3.583 -2.879 -1.429
1.429 5.706 0.194
Gd Pu
1 3
direct
0.000 0.000 0.000
0.750 0.250 0.500
0.250 0.750 0.500
0.500 0.500 0.000


The evaluated formation energy for the records listed, in turn: -0.3871, -0.8137, -0.7704, -0.6469, -1.0370, -0.9164, 0.2757, 0.2482, 0.2429, 0.2437, 0.1878, 0.2543 eV per atom.
The evaluated volume for the records listed, in turn: 16.74, 18.34, 18.23, 22.71, 20.60, 18.48, 28.45, 25.51, 26.40, 28.86, 28.85, 27.82 Å³/atom.